Entry 1:
Entry from Alexandria via LeMat-Bulk: a relaxed Y3ZnPd2 crystal (PBE-GGA).

Cell lengths 5.0005, 5.0005, 12.2688 Å; angles 90.00, 90.00, 120.00 degrees
With the nearest neighbours (Å) after each atom.
Atoms (fractional coordinates):
Y  0.0000  0.0000  0.2463  5 Pd 3.02-3.11, 3 Zn 3.06
Y  0.0000  0.0000  0.7537  5 Pd 3.02-3.11, 3 Zn 3.06
Y  0.3333  0.6667  0.4178  4 Pd 3.00-3.06, 4 Zn 3.08-3.10
Y  0.3333  0.6667  0.9206  7 Pd 3.05-3.11, 1 Zn 3.07
Y  0.6667  0.3333  0.0794  7 Pd 3.05-3.11, 1 Zn 3.07
Y  0.6667  0.3333  0.5822  4 Pd 3.00-3.06, 4 Zn 3.08-3.10
Zn  0.3333  0.6667  0.6705  8 Y 3.06-3.10
Zn  0.6667  0.3333  0.3295  8 Y 3.06-3.10
Pd  0.0000  0.0000  0.0000  8 Y 3.02-3.05
Pd  0.0000  0.0000  0.5000  8 Y 3.06-3.11
Pd  0.3333  0.6667  0.1737  8 Y 3.00-3.11
Pd  0.6667  0.3333  0.8263  8 Y 3.00-3.11

Results
DFT total energy ... -70.515 eV for the cell shown
Magnetization ... 0.0 Bohr magnetons per cell
Energy of formation ... -0.701 eV per atom

---

Entry 2:
Entry from Alexandria via LeMat-Bulk: a relaxed Tb2Nd3Sm crystal (PBE-GGA).

Cell lengths 8.1196, 8.1196, 5.1299 Å; angles 90.00, 90.00, 143.09 degrees
With the nearest neighbours (Å) after each atom.
Atoms (fractional coordinates):
Tb  0.1670  0.8330  0.0000  8 Nd 3.62-3.63, 2 Tb 3.62, 2 Sm 3.64
Tb  0.8330  0.1670  0.0000  8 Nd 3.62-3.63, 2 Tb 3.62, 2 Sm 3.64
Nd  0.0000  0.0000  0.5000  4 Sm 3.63, 4 Tb 3.63, 4 Nd 3.63
Nd  0.3332  0.6668  0.5000  6 Tb 3.62-3.63, 4 Nd 3.63, 2 Sm 3.63
Nd  0.6668  0.3332  0.5000  6 Tb 3.62-3.63, 4 Nd 3.63, 2 Sm 3.63
Sm  0.5000  0.5000  0.0000  8 Nd 3.63, 4 Tb 3.64

Results
DFT total energy ... -28.188 eV for the cell shown
Magnetization ... 0.0 Bohr magnetons per cell
Energy of formation ... 0.016 eV per atom

---

Entry 3:
Entry from Alexandria via LeMat-Bulk: a relaxed Pm2Dy2Cd crystal (PBE-GGA).

Cell lengths 11.9667, 11.9667, 11.9667 Å; angles 162.61, 162.61, 24.68 degrees
With the nearest neighbours (Å) after each atom.
Atoms (fractional coordinates):
Pm  0.1942  0.1942  0.0000  4 Dy 3.59, 8 Pm 3.62-3.66
Pm  0.8058  0.8058  0.0000  4 Dy 3.59, 8 Pm 3.62-3.66
Dy  0.4134  0.4134  0.0000  4 Cd 3.26, 4 Pm 3.59, 4 Dy 3.62
Dy  0.5866  0.5866  0.0000  4 Cd 3.26, 4 Pm 3.59, 4 Dy 3.62
Cd  0.0000  0.0000  0.0000  8 Dy 3.26, 4 Cd 3.62

Results
DFT total energy ... -20.189 eV for the cell shown
E above lowest polymorph ... 0.0 meV/atom
Magnetization ... 0.0 Bohr magnetons per cell
Energy of formation ... -0.114 eV per atom

---

Entry 4:
Entry from Alexandria via LeMat-Bulk: a relaxed Ti2Zn5Pd2 crystal (PBE-GGA).

Cell lengths 8.8098, 8.8098, 8.8098 Å; angles 60.42, 130.75, 147.22 degrees
With the nearest neighbours (Å) after each atom.
Atoms (fractional coordinates):
Ti  0.1265  0.0718  0.1984  4 Pd 2.75-2.95, 1 Ti 2.87, 6 Zn 2.88-3.02
Ti  0.1265  0.4282  0.5547  4 Pd 2.75-2.95, 1 Ti 2.87, 6 Zn 2.88-3.02
Ti  0.8735  0.5718  0.4453  4 Pd 2.75-2.95, 1 Ti 2.87, 6 Zn 2.88-3.02
Ti  0.8735  0.9282  0.8016  4 Pd 2.75-2.95, 1 Ti 2.87, 6 Zn 2.88-3.02
Zn  0.1401  0.7096  0.9305  1 Pd 2.54, 4 Zn 2.69-2.72
Zn  0.4796  0.1809  0.6337  3 Zn 2.51-2.74, 3 Pd 2.56-2.68
Zn  0.4796  0.3458  0.7987  3 Zn 2.51-2.74, 3 Pd 2.56-2.68
Zn  0.4880  0.1500  0.1583  5 Zn 2.49-2.74, 2 Pd 2.60-2.61
Zn  0.4880  0.8297  0.8380  5 Zn 2.49-2.74, 2 Pd 2.60-2.61
Zn  0.5471  0.6809  0.2013  3 Zn 2.51-2.74, 3 Pd 2.56-2.68
Zn  0.5471  0.8458  0.3663  3 Zn 2.51-2.74, 3 Pd 2.56-2.68
Zn  0.7791  0.2096  0.0695  1 Pd 2.54, 4 Zn 2.69-2.72
Zn  0.9917  0.3297  0.8417  5 Zn 2.49-2.74, 2 Pd 2.60-2.61
Zn  0.9917  0.6500  0.1620  5 Zn 2.49-2.74, 2 Pd 2.60-2.61
Pd  0.2299  0.3224  0.4075  5 Zn 2.54-2.68, 2 Ti 2.75, 2 Pd 2.83
Pd  0.4945  0.4945  0.0000  6 Zn 2.56-2.61, 2 Ti 2.85
Pd  0.4945  0.9945  0.5000  6 Zn 2.56-2.61, 2 Ti 2.85
Pd  0.9150  0.8224  0.5925  5 Zn 2.54-2.68, 2 Ti 2.75, 2 Pd 2.83

Results
DFT total energy ... -69.886 eV for the cell shown
Magnetization ... 4.8 Bohr magnetons per cell
Energy of formation ... -0.266 eV per atom

---

Entry 5:
Entry from Alexandria via LeMat-Bulk: a relaxed Nd2Ge4IrAu3 crystal (PBE-GGA).

Cell lengths 4.3358, 4.3358, 10.9039 Å; angles 90.00, 90.00, 90.00 degrees
With the nearest neighbours (Å) after each atom.
Atoms (fractional coordinates):
Nd  0.0000  0.5000  0.2344  8 Ge 3.28-3.62, 6 Au 3.35, 2 Ir 3.35
Nd  0.5000  0.0000  0.7656  8 Ge 3.28-3.62, 6 Au 3.35, 2 Ir 3.35
Ge  0.0000  0.0000  0.5000  4 Au 2.66
Ge  0.0000  0.5000  0.8730  3 Au 2.52-2.57, 2 Ir 2.57
Ge  0.5000  0.0000  0.1270  3 Au 2.52-2.57, 2 Ir 2.57
Ge  0.5000  0.5000  0.5000  4 Au 2.66
Ir  0.5000  0.5000  0.0000  4 Ge 2.57
Au  0.0000  0.0000  0.0000  4 Ge 2.57
Au  0.0000  0.5000  0.6418  5 Ge 2.52-2.66
Au  0.5000  0.0000  0.3582  5 Ge 2.52-2.66

Results
DFT total energy ... -52.126 eV for the cell shown
Magnetization ... 0.0 Bohr magnetons per cell
Energy of formation ... -0.543 eV per atom

---

Entry 6:
Entry from Alexandria via LeMat-Bulk: a relaxed Tl2PAu3 crystal (PBE-GGA).

Cell lengths 5.5077, 7.1882, 7.6463 Å; angles 106.27, 90.74, 95.01 degrees
With the nearest neighbours (Å) after each atom.
Atoms (fractional coordinates):
Tl  0.2285  0.0197  0.3583  1 P 2.92, 3 Au 3.11-3.25
Tl  0.2312  0.3538  0.9949  1 P 2.76, 4 Au 2.99-3.09
Tl  0.7688  0.6462  0.0051  1 P 2.76, 4 Au 2.99-3.09
Tl  0.7715  0.9803  0.6417  1 P 2.92, 3 Au 3.11-3.25
P  0.3065  0.9737  0.9725  1 P 2.15, 1 Au 2.35
P  0.6935  0.0263  0.0275  1 P 2.15, 1 Au 2.35
Au  0.0107  0.5942  0.3379  4 Au 2.75-2.88, 2 Tl 2.99-3.04
Au  0.2624  0.7696  0.6718  1 P 2.35
Au  0.4901  0.4089  0.6548  5 Au 2.75-3.01, 1 Tl 3.05
Au  0.5099  0.5911  0.3452  5 Au 2.75-3.01, 1 Tl 3.05
Au  0.7376  0.2304  0.3282  1 P 2.35
Au  0.9893  0.4058  0.6621  4 Au 2.75-2.88, 2 Tl 2.99-3.04

Results
DFT total energy ... -39.531 eV for the cell shown
Magnetization ... 0.0 Bohr magnetons per cell
Energy of formation ... 0.035 eV per atom

---

Entry 7:
Entry from Alexandria via LeMat-Bulk: a relaxed Sm7Ho16Er6 crystal (PBE-GGA).

Cell lengths 11.1199, 11.1199, 11.1199 Å; angles 60.00, 60.00, 60.00 degrees
With the nearest neighbours (Å) after each atom.
Atoms (fractional coordinates):
Sm  0.0000  0.0000  0.0000  8 Ho 3.45
Sm  0.0000  0.0000  0.5000  8 Ho 3.24-3.39
Sm  0.0000  0.5000  0.0000  8 Ho 3.24-3.39
Sm  0.0000  0.5000  0.5000  8 Ho 3.24-3.39
Sm  0.5000  0.0000  0.0000  8 Ho 3.24-3.39
Sm  0.5000  0.0000  0.5000  8 Ho 3.24-3.39
Sm  0.5000  0.5000  0.0000  8 Ho 3.24-3.39
Ho  0.0501  0.6500  0.6500  3 Sm 3.24, 3 Ho 3.55, 3 Er 3.60
Ho  0.1268  0.1268  0.1268  4 Sm 3.39-3.45, 3 Ho 3.55, 3 Er 3.55
Ho  0.1268  0.1268  0.6196  4 Sm 3.39-3.45, 3 Ho 3.55, 3 Er 3.55
Ho  0.1268  0.6196  0.1268  4 Sm 3.39-3.45, 3 Ho 3.55, 3 Er 3.55
Ho  0.3500  0.3500  0.3500  3 Sm 3.24, 3 Ho 3.55, 3 Er 3.60
Ho  0.3500  0.3500  0.9499  3 Sm 3.24, 3 Ho 3.55, 3 Er 3.60
Ho  0.3500  0.9499  0.3500  3 Sm 3.24, 3 Ho 3.55, 3 Er 3.60
Ho  0.3804  0.8732  0.8732  4 Sm 3.39-3.45, 3 Ho 3.55, 3 Er 3.55
Ho  0.6196  0.1268  0.1268  4 Sm 3.39-3.45, 3 Ho 3.55, 3 Er 3.55
Ho  0.6500  0.0501  0.6500  3 Sm 3.24, 3 Ho 3.55, 3 Er 3.60
Ho  0.6500  0.6500  0.0501  3 Sm 3.24, 3 Ho 3.55, 3 Er 3.60
Ho  0.6500  0.6500  0.6500  3 Sm 3.24, 3 Ho 3.55, 3 Er 3.60
Ho  0.8732  0.3804  0.8732  4 Sm 3.39-3.45, 3 Ho 3.55, 3 Er 3.55
Ho  0.8732  0.8732  0.3804  4 Sm 3.39-3.45, 3 Ho 3.55, 3 Er 3.55
Ho  0.8732  0.8732  0.8732  4 Sm 3.39-3.45, 3 Ho 3.55, 3 Er 3.55
Ho  0.9499  0.3500  0.3500  3 Sm 3.24, 3 Ho 3.55, 3 Er 3.60
Er  0.2639  0.2639  0.7361  8 Ho 3.55-3.60, 4 Sm 3.94
Er  0.2639  0.7361  0.2639  8 Ho 3.55-3.60, 4 Sm 3.94
Er  0.2639  0.7361  0.7361  8 Ho 3.55-3.60, 4 Sm 3.94
Er  0.7361  0.2639  0.2639  8 Ho 3.55-3.60, 4 Sm 3.94
Er  0.7361  0.2639  0.7361  8 Ho 3.55-3.60, 4 Sm 3.94
Er  0.7361  0.7361  0.2639  8 Ho 3.55-3.60, 4 Sm 3.94

Results
DFT total energy ... -126.043 eV for the cell shown
Magnetization ... 0.0 Bohr magnetons per cell
Energy of formation ... 0.263 eV per atom

---

Entry 8:
Entry from Alexandria via LeMat-Bulk: a relaxed ErNi crystal (PBE-GGA).

Cell lengths 6.9202, 4.1887, 5.3627 Å; angles 90.00, 90.00, 90.00 degrees
With the nearest neighbours (Å) after each atom.
Atoms (fractional coordinates):
Er  0.1804  0.2500  0.1339  7 Ni 2.83-2.89
Er  0.3196  0.7500  0.6339  7 Ni 2.83-2.89
Er  0.6804  0.2500  0.3661  7 Ni 2.83-2.89
Er  0.8196  0.7500  0.8661  7 Ni 2.83-2.89
Ni  0.0370  0.2500  0.6276  2 Ni 2.55, 2 Er 2.83-2.84
Ni  0.4630  0.7500  0.1276  2 Ni 2.55, 2 Er 2.83-2.84
Ni  0.5370  0.2500  0.8724  2 Ni 2.55, 2 Er 2.83-2.84
Ni  0.9630  0.7500  0.3724  2 Ni 2.55, 2 Er 2.83-2.84

Results
DFT total energy ... -45.281 eV for the cell shown
Magnetization ... 0.0 Bohr magnetons per cell
Energy of formation ... -0.488 eV per atom

---

Entry 9:
Entry from Alexandria via LeMat-Bulk: a relaxed BeCr2Br crystal (PBE-GGA).

Cell lengths 3.0564, 3.0564, 5.9275 Å; angles 90.00, 90.00, 90.00 degrees
With the nearest neighbours (Å) after each atom.
Atoms (fractional coordinates):
Be  0.0000  0.0000  0.0000  8 Cr 2.39
Cr  0.5000  0.5000  0.1708  1 Cr 2.02
Cr  0.5000  0.5000  0.8292  1 Cr 2.02
Br  0.0000  0.0000  0.5000  8 Cr 2.91, 2 Be 2.96, 4 Br 3.06

Results
Raw formation energy ... 0.581 eV/atom
DFT total energy ... -22.321 eV for the cell shown
E above lowest polymorph ... 202.7 meV/atom
Magnetization ... 0.0 Bohr magnetons per cell

---

Entry 10:
Entry from Alexandria via LeMat-Bulk: a relaxed UFe2Ru crystal (PBE-GGA).

Cell lengths 4.3316, 4.3316, 4.3316 Å; angles 61.92, 61.92, 61.92 degrees
With the nearest neighbours (Å) after each atom.
Atoms (fractional coordinates):
U  0.0000  0.0000  0.0000  2 Fe 2.17
Fe  0.2072  0.2072  0.2072  1 U 2.17
Fe  0.7928  0.7928  0.7928  1 U 2.17
Ru  0.5000  0.5000  0.5000  6 Fe 2.61

Results
DFT total energy ... -37.502 eV for the cell shown
Magnetization ... 0.0 Bohr magnetons per cell
Energy of formation ... -0.003 eV per atom

---

Q: Look up the DFT total energy of the sixth one.
A: -39.531 eV for the cell shown